Below is a relaxed structure of Ca3HgAu2, with properties calculated at the PBE level.

The structure in CIF format:
```
data_Ca3HgAu2
_cell_length_a 3.6509
_cell_length_b 3.6509
_cell_length_c 11.3100
_cell_angle_alpha 90.00
_cell_angle_beta 90.00
_cell_angle_gamma 90.00
_symmetry_space_group_name_H-M 'P 4/m m m'
_symmetry_Int_Tables_number 123
_symmetry_space_group_name_Hall '-P 4 2'
loop_
_atom_site_label
_atom_site_fract_x
_atom_site_fract_y
_atom_site_fract_z
Ca1 0.0000 0.0000 0.0000
Ca2 0.0000 0.0000 0.3207
Hg1 0.5000 0.5000 0.5000
Au1 0.5000 0.5000 0.1630
```

Properties
magnetic moment	0.00	μB/f.u.
excess energy over the best structure of this formula in the dataset	0	kJ/mol of formula units
energy of formation	-0.70	eV per atom
DOS(E_F)	4.5	states/eV/f.u.

=====

Below is a relaxed structure of Ca2HgAu7, with properties calculated at the PBE level.

The structure in CIF format:
```
data_Ca2HgAu7
_cell_length_a 10.3874
_cell_length_b 10.3874
_cell_length_c 10.3874
_cell_angle_alpha 90.00
_cell_angle_beta 90.00
_cell_angle_gamma 90.00
_symmetry_space_group_name_H-M 'F m -3 m'
_symmetry_Int_Tables_number 225
_symmetry_space_group_name_Hall '-F 4 2 3'
loop_
_atom_site_label
_atom_site_fract_x
_atom_site_fract_y
_atom_site_fract_z
Ca1 0.2500 0.2500 0.2500
Hg1 0.0000 0.0000 0.0000
Au1 0.0000 0.0000 0.2518
Au2 0.0000 0.0000 0.5000
```

Properties
magnetic moment	0.00	μB/f.u.
energy of formation	0.02	eV per atom
DOS(E_F)	4.3	states/eV/f.u.

=====

Below is a relaxed structure of CaHg4Au, with properties calculated at the PBE level.

The structure in CIF format:
```
data_CaHg4Au
_cell_length_a 5.5916
_cell_length_b 9.2057
_cell_length_c 6.6632
_cell_angle_alpha 90.00
_cell_angle_beta 98.12
_cell_angle_gamma 90.00
_symmetry_space_group_name_H-M 'P 1 21/m 1'
_symmetry_Int_Tables_number 11
_symmetry_space_group_name_Hall '-P 2yb'
loop_
_atom_site_label
_atom_site_fract_x
_atom_site_fract_y
_atom_site_fract_z
Ca1 0.0499 0.2500 0.3317
Hg1 0.0444 0.7500 0.1507
Hg2 0.3026 0.0239 0.6865
Hg3 0.4969 0.2500 0.0458
Au1 0.4240 0.7500 0.4905
```

Properties
magnetic moment	0.00	μB/f.u.
excess energy over the best structure of this formula in the dataset	44	kJ/mol of formula units
energy of formation	-0.21	eV per atom
DOS(E_F)	2.6	states/eV/f.u.

=====

Below is a relaxed structure of Ca4Hg5Au, with properties calculated at the PBE level.

The structure in CIF format:
```
data_Ca4Hg5Au
_cell_length_a 15.7491
_cell_length_b 5.2076
_cell_length_c 6.5924
_cell_angle_alpha 90.00
_cell_angle_beta 105.85
_cell_angle_gamma 90.00
_symmetry_space_group_name_H-M 'C 1 2/m 1'
_symmetry_Int_Tables_number 12
_symmetry_space_group_name_Hall '-C 2y'
loop_
_atom_site_label
_atom_site_fract_x
_atom_site_fract_y
_atom_site_fract_z
Ca1 0.0896 0.0000 0.3698
Ca2 0.1863 0.5000 0.8004
Hg1 0.0000 0.5000 0.0000
Hg2 0.1083 0.0000 0.9095
Hg3 0.2112 0.5000 0.3209
Au1 0.0000 0.5000 0.5000
```

Properties
magnetic moment	0.00	μB/f.u.
energy of formation	-0.51	eV per atom
DOS(E_F)	4.3	states/eV/f.u.

=====

Below is a relaxed structure of CaHgAu, with properties calculated at the PBE level.

The structure in CIF format:
```
data_CaHgAu
_cell_length_a 4.9461
_cell_length_b 7.1142
_cell_length_c 8.3468
_cell_angle_alpha 90.00
_cell_angle_beta 90.00
_cell_angle_gamma 90.00
_symmetry_space_group_name_H-M 'I m m a'
_symmetry_Int_Tables_number 74
_symmetry_space_group_name_Hall '-I 2b 2'
loop_
_atom_site_label
_atom_site_fract_x
_atom_site_fract_y
_atom_site_fract_z
Ca1 0.0000 0.0000 0.0000
Hg1 0.0000 0.2500 0.3385
Au1 0.0000 0.2500 0.6742
```

Properties
magnetic moment	0.00	μB/f.u.
energy of formation	-0.56	eV per atom
DOS(E_F)	2.1	states/eV/f.u.

=====

Below is a relaxed structure of Ca2Hg5Au, with properties calculated at the PBE level.

The structure in CIF format:
```
data_Ca2Hg5Au
_cell_length_a 6.6275
_cell_length_b 13.1503
_cell_length_c 4.5923
_cell_angle_alpha 90.00
_cell_angle_beta 90.00
_cell_angle_gamma 90.00
_symmetry_space_group_name_H-M 'P b a m'
_symmetry_Int_Tables_number 55
_symmetry_space_group_name_Hall '-P 2 2ab'
loop_
_atom_site_label
_atom_site_fract_x
_atom_site_fract_y
_atom_site_fract_z
Ca1 0.2270 0.1174 0.0000
Hg1 0.0000 0.5000 0.5000
Hg2 0.0294 0.7575 0.5000
Hg3 0.2308 0.3726 0.0000
Au1 0.0000 0.0000 0.5000
```

Properties
magnetic moment	0.00	μB/f.u.
excess energy over the best structure of this formula in the dataset	0	kJ/mol of formula units
energy of formation	-0.39	eV per atom
DOS(E_F)	3.5	states/eV/f.u.

=====

Below is a relaxed structure of Ca2HgAu, with properties calculated at the PBE level.

The structure in CIF format:
```
data_Ca2HgAu
_cell_length_a 3.8000
_cell_length_b 4.9762
_cell_length_c 11.2091
_cell_angle_alpha 90.00
_cell_angle_beta 90.00
_cell_angle_gamma 90.00
_symmetry_space_group_name_H-M 'I m m 2'
_symmetry_Int_Tables_number 44
_symmetry_space_group_name_Hall 'I 2 -2'
loop_
_atom_site_label
_atom_site_fract_x
_atom_site_fract_y
_atom_site_fract_z
Ca1 0.0000 0.0000 0.0000
Ca2 0.0000 0.5000 0.2116
Hg1 0.0000 0.0000 0.4399
Au1 0.0000 0.5000 0.7242
```

Properties
magnetic moment	0.00	μB/f.u.
energy of formation	-0.54	eV per atom
DOS(E_F)	2.4	states/eV/f.u.

=====

Below is a relaxed structure of CaHg8Au2, with properties calculated at the PBE level.

The structure in CIF format:
```
data_CaHg8Au2
_cell_length_a 5.5117
_cell_length_b 7.5345
_cell_length_c 7.6351
_cell_angle_alpha 75.13
_cell_angle_beta 68.87
_cell_angle_gamma 72.08
_symmetry_space_group_name_H-M 'P -1'
_symmetry_Int_Tables_number 2
_symmetry_space_group_name_Hall '-P 1'
loop_
_atom_site_label
_atom_site_fract_x
_atom_site_fract_y
_atom_site_fract_z
Ca1 0.0000 0.0000 0.0000
Hg1 0.1349 0.1582 0.5386
Hg2 0.1526 0.5379 0.1624
Hg3 0.2963 0.7068 0.7088
Hg4 0.4873 0.2762 0.7219
Au1 0.3736 0.1359 0.1336
```

Properties
magnetic moment	0.00	μB/f.u.
energy of formation	-0.14	eV per atom
DOS(E_F)	3.3	states/eV/f.u.

=====

Below is a relaxed structure of Ca2HgAu9, with properties calculated at the PBE level.

The structure in CIF format:
```
data_Ca2HgAu9
_cell_length_a 5.6859
_cell_length_b 5.6859
_cell_length_c 18.3254
_cell_angle_alpha 90.00
_cell_angle_beta 90.00
_cell_angle_gamma 120.00
_symmetry_space_group_name_H-M 'P 63/m m c'
_symmetry_Int_Tables_number 194
_symmetry_space_group_name_Hall '-P 6c 2c'
loop_
_atom_site_label
_atom_site_fract_x
_atom_site_fract_y
_atom_site_fract_z
Ca1 0.3333 0.6667 0.0436
Hg1 0.3333 0.6667 0.2500
Au1 0.0000 0.0000 0.0000
Au2 0.0000 0.0000 0.2500
Au3 0.1695 0.3391 0.6214
Au4 0.3333 0.6667 0.7500
```

Properties
magnetic moment	0.00	μB/f.u.
energy of formation	-0.33	eV per atom
DOS(E_F)	4.8	states/eV/f.u.

=====

Below is a relaxed structure of Ca3HgAu2, with properties calculated at the PBE level.

The structure in CIF format:
```
data_Ca3HgAu2
_cell_length_a 5.2226
_cell_length_b 15.7136
_cell_length_c 3.6664
_cell_angle_alpha 90.00
_cell_angle_beta 90.00
_cell_angle_gamma 90.00
_symmetry_space_group_name_H-M 'C m m m'
_symmetry_Int_Tables_number 65
_symmetry_space_group_name_Hall '-C 2 2'
loop_
_atom_site_label
_atom_site_fract_x
_atom_site_fract_y
_atom_site_fract_z
Ca1 0.0000 0.0000 0.0000
Ca2 0.0000 0.3277 0.0000
Hg1 0.0000 0.5000 0.5000
Au1 0.0000 0.1630 0.5000
```

Properties
magnetic moment	0.00	μB/f.u.
excess energy over the best structure of this formula in the dataset	4	kJ/mol of formula units
energy of formation	-0.70	eV per atom
DOS(E_F)	4.2	states/eV/f.u.

=====

Below is a relaxed structure of CaHgAu, with properties calculated at the PBE level.

The structure in CIF format:
```
data_CaHgAu
_cell_length_a 4.8577
_cell_length_b 4.8577
_cell_length_c 3.6249
_cell_angle_alpha 90.00
_cell_angle_beta 90.00
_cell_angle_gamma 120.00
_symmetry_space_group_name_H-M 'P -6 m 2'
_symmetry_Int_Tables_number 187
_symmetry_space_group_name_Hall 'P -6 2'
loop_
_atom_site_label
_atom_site_fract_x
_atom_site_fract_y
_atom_site_fract_z
Ca1 0.0000 0.0000 0.0000
Hg1 0.3333 0.6667 0.5000
Au1 0.6667 0.3333 0.5000
```

Properties
magnetic moment	0.00	μB/f.u.
energy of formation	-0.58	eV per atom
DOS(E_F)	1.4	states/eV/f.u.

=====

Below is a relaxed structure of Ca2HgAu, with properties calculated at the PBE level.

The structure in CIF format:
```
data_Ca2HgAu
_cell_length_a 8.0895
_cell_length_b 8.0895
_cell_length_c 7.3669
_cell_angle_alpha 90.00
_cell_angle_beta 90.00
_cell_angle_gamma 90.00
_symmetry_space_group_name_H-M 'I -4 2 d'
_symmetry_Int_Tables_number 122
_symmetry_space_group_name_Hall 'I -4 2bw'
loop_
_atom_site_label
_atom_site_fract_x
_atom_site_fract_y
_atom_site_fract_z
Ca1 0.2310 0.2500 0.1250
Hg1 0.0000 0.0000 0.5000
Au1 0.0000 0.0000 0.0000
```

Properties
magnetic moment	0.00	μB/f.u.
energy of formation	-0.40	eV per atom
DOS(E_F)	2.5	states/eV/f.u.